[1]
A relaxed ZrSi2Se crystal. Source: Alexandria, functional PBE.

Cell: 5.7266 5.6593 3.8812 Å, 71.01 69.14 39.86°
With the nearest neighbours (Å) after each atom.
Positions (direct):
Zr  0.0000  0.0000  0.0000  4 Se 2.67-2.81, 4 Si 2.86
Si  0.0000  0.5000  0.5000  4 Si 2.67-2.81, 2 Zr 2.86, 2 Se 2.86
Si  0.5000  0.0000  0.0000  4 Si 2.67-2.81, 2 Zr 2.86, 2 Se 2.86
Se  0.5000  0.5000  0.5000  4 Zr 2.67-2.81, 4 Si 2.86

Results
DOS at the Fermi energy = 0.5179 states/eV per atom
Energy relative to the elements, uncorrected = -0.7 eV/f.u.
M_tot = 0.0 μB per formula unit

[2]
A relaxed ZrSiSe3 crystal. Source: Alexandria, functional PBE.

Cell: 5.1989 5.1989 5.1989 Å, 90.00 90.00 90.00°
With the nearest neighbours (Å) after each atom.
Positions (direct):
Zr  0.0000  0.0000  0.0000  6 Se 2.60
Si  0.5000  0.5000  0.5000  12 Se 3.68
Se  0.0000  0.0000  0.5000  2 Zr 2.60
Se  0.0000  0.5000  0.0000  2 Zr 2.60
Se  0.5000  0.0000  0.0000  2 Zr 2.60

Results
DOS at the Fermi energy = 0.6727 states/eV per atom
Energy relative to the elements, uncorrected = -0.2 eV/f.u.
M_tot = 0.0 μB per formula unit

[3]
A relaxed Zr2SiSe crystal. Source: Alexandria, functional PBE.

Cell: 4.6532 5.2431 5.2431 Å, 37.06 90.00 90.00°
With the nearest neighbours (Å) after each atom.
Positions (direct):
Zr  0.0000  0.0000  0.0000  3 Se 2.74-2.79, 4 Si 2.88
Zr  0.5000  0.2564  0.2564  3 Si 2.72-2.80, 4 Se 2.88
Si  0.5000  0.5295  0.5295  7 Zr 2.72-2.88, 2 Se 3.03
Se  0.0000  0.7247  0.7247  7 Zr 2.74-2.88, 2 Si 3.03

Results
DOS at the Fermi energy = 0.8275 states/eV per atom
Energy relative to the elements, uncorrected = -3.2 eV/f.u.
M_tot = 0.0 μB per formula unit

[4]
A relaxed Zr2SiSe crystal. Source: Alexandria, functional PBE.

Cell: 7.0277 7.0277 7.0277 Å, 31.00 31.00 31.00°
With the nearest neighbours (Å) after each atom.
Positions (direct):
Zr  0.0000  0.0000  0.0000  3 Si 2.64, 3 Se 2.86
Zr  0.1845  0.1845  0.1845  3 Si 2.63, 3 Se 2.84
Si  0.5916  0.5916  0.5916  6 Zr 2.63-2.64
Se  0.7599  0.7599  0.7599  6 Zr 2.84-2.86

Results
DOS at the Fermi energy = 0.2340 states/eV per atom
Energy relative to the elements, uncorrected = -4.1 eV/f.u.
M_tot = 0.0 μB per formula unit

[5]
A relaxed ZrSiSe crystal. Source: Alexandria, functional PBE.

Cell: 5.2328 5.2328 7.9556 Å, 117.46 117.46 40.61°
With the nearest neighbours (Å) after each atom.
Positions (direct):
Zr  0.0000  0.0000  0.0000  2 Se 2.66-2.81, 5 Si 2.72-2.87
Zr  0.5622  0.5622  0.6573  5 Se 2.75-2.87, 2 Si 2.78
Si  0.2616  0.2616  0.9327  2 Si 2.42
Si  0.7361  0.7361  0.1160  2 Si 2.42, 1 Se 2.42
Se  0.0099  0.0099  0.3592  1 Si 2.42
Se  0.8370  0.8370  0.6163  4 Zr 2.66-2.87

Results
DOS at the Fermi energy = 0.3068 states/eV per atom
Energy relative to the elements, uncorrected = -2.4 eV/f.u.
M_tot = 0.0 μB per formula unit

[6]
A relaxed ZrSiSe crystal. Source: Alexandria, functional PBE.

Cell: 3.3949 3.3949 6.0290 Å, 90.00 90.00 120.00°
With the nearest neighbours (Å) after each atom.
Positions (direct):
Zr  0.0000  0.0000  0.0000  3 Se 2.70, 3 Si 2.80
Si  0.3333  0.6667  0.6678  3 Zr 2.80, 3 Se 2.93
Se  0.6667  0.3333  0.3072  3 Zr 2.70, 3 Si 2.93

Results
DOS at the Fermi energy = 0.5024 states/eV per atom
Energy relative to the elements, uncorrected = -1.2 eV/f.u.
M_tot = 0.0 μB per formula unit

[7]
A relaxed ZrSiSe crystal. Source: Alexandria, functional PBE.

Cell: 4.5913 4.5913 4.5913 Å, 60.00 60.00 60.00°
With the nearest neighbours (Å) after each atom.
Positions (direct):
Zr  0.0000  0.0000  0.0000  4 Si 2.81, 4 Se 2.81
Si  0.7500  0.7500  0.7500  4 Zr 2.81
Se  0.2500  0.2500  0.2500  4 Zr 2.81

Results
DOS at the Fermi energy = 1.1952 states/eV per atom
Energy relative to the elements, uncorrected = -0.4 eV/f.u.
M_tot = 0.0 μB per formula unit

[8]
A relaxed ZrSiSe crystal. Source: Alexandria, functional PBE.

Cell: 5.0609 5.0609 5.0609 Å, 139.31 139.31 58.90°
With the nearest neighbours (Å) after each atom.
Positions (direct):
Zr  0.0000  0.0000  0.0000  5 Se 2.85-3.02, 5 Si 2.87-2.97
Si  0.6633  0.6633  0.0000  5 Se 2.82-2.95, 5 Zr 2.87-2.97
Se  0.3429  0.3429  0.0000  5 Si 2.82-2.95, 5 Zr 2.85-3.02

Results
DOS at the Fermi energy = 0.5246 states/eV per atom
Energy relative to the elements, uncorrected = -1.8 eV/f.u.
M_tot = 0.0 μB per formula unit

[9]
A relaxed ZrSi2Se crystal. Source: Alexandria, functional PBE.

Cell: 3.8435 3.7189 5.4982 Å, 90.00 109.89 90.00°
With the nearest neighbours (Å) after each atom.
Positions (direct):
Zr  0.0000  0.0000  0.0000  5 Si 2.75-3.03, 4 Se 2.81-2.84
Si  0.0515  0.5000  0.3782  1 Se 2.38, 2 Si 2.41
Si  0.6746  0.0000  0.4147  2 Si 2.41
Se  0.4187  0.5000  0.8243  1 Si 2.38

Results
DOS at the Fermi energy = 0.0357 states/eV per atom
Energy relative to the elements, uncorrected = -2.2 eV/f.u.
M_tot = 0.0 μB per formula unit

[10]
A relaxed ZrSi2Se crystal. Source: Alexandria, functional PBE.

Cell: 5.3163 5.3163 4.3062 Å, 92.18 92.18 39.30°
With the nearest neighbours (Å) after each atom.
Positions (direct):
Zr  0.0000  0.0000  0.0000  6 Si 2.78-3.05, 4 Se 2.80
Si  0.2695  0.2695  0.1805  2 Si 2.39, 1 Se 2.64
Si  0.7305  0.7305  0.8195  2 Si 2.39, 1 Se 2.64
Se  0.5000  0.5000  0.5000  2 Si 2.64, 4 Zr 2.80

Results
DOS at the Fermi energy = 0.4609 states/eV per atom
Energy relative to the elements, uncorrected = -0.9 eV/f.u.
M_tot = 0.0 μB per formula unit

[11]
A relaxed ZrSi2Se crystal. Source: Alexandria, functional PBE.

Cell: 5.4879 5.4879 3.8733 Å, 90.76 90.76 39.93°
With the nearest neighbours (Å) after each atom.
Positions (direct):
Zr  0.0000  0.0000  0.0000  6 Si 2.76-2.85, 3 Se 2.87-2.98
Si  0.5756  0.5756  0.5053  1 Si 2.35
Si  0.8035  0.8035  0.5096  1 Si 2.35
Se  0.2891  0.2891  0.0298  4 Si 2.64-2.76, 2 Zr 2.87

Results
DOS at the Fermi energy = 0.1888 states/eV per atom
Energy relative to the elements, uncorrected = -1.5 eV/f.u.
M_tot = 0.0 μB per formula unit

[12]
A relaxed ZrSiSe crystal. Source: Alexandria, functional PBE.

Cell: 3.6365 3.6365 8.5077 Å, 90.00 90.00 90.00°
With the nearest neighbours (Å) after each atom.
Positions (direct):
Zr  0.2500  0.2500  0.2465  4 Se 2.77, 4 Si 2.82
Zr  0.7500  0.7500  0.7535  4 Se 2.77, 4 Si 2.82
Si  0.2500  0.7500  0.5000  4 Si 2.57, 4 Zr 2.82
Si  0.7500  0.2500  0.5000  4 Si 2.57, 4 Zr 2.82
Se  0.2500  0.2500  0.8758  4 Zr 2.77
Se  0.7500  0.7500  0.1242  4 Zr 2.77

Results
DOS at the Fermi energy = 0.1868 states/eV per atom
Energy relative to the elements, uncorrected = -3.2 eV/f.u.
M_tot = 0.0 μB per formula unit

[13]
A relaxed Zr2SiSe crystal. Source: Alexandria, functional PBE.

Cell: 7.4343 7.4343 7.4343 Å, 132.30 132.30 69.75°
With the nearest neighbours (Å) after each atom.
Positions (direct):
Zr  0.1130  0.6250  0.9880  2 Si 2.57, 2 Se 2.66
Zr  0.3750  0.3630  0.4880  2 Si 2.57, 2 Se 2.66
Zr  0.6370  0.1250  0.0120  2 Si 2.57, 2 Se 2.66
Zr  0.8750  0.8870  0.5120  2 Si 2.57, 2 Se 2.66
Si  0.0000  0.0000  0.0000  4 Zr 2.57
Si  0.7500  0.2500  0.5000  4 Zr 2.57
Se  0.2500  0.7500  0.5000  4 Zr 2.66
Se  0.5000  0.5000  0.0000  4 Zr 2.66

Results
DOS at the Fermi energy = 0.7442 states/eV per atom
Energy relative to the elements, uncorrected = -1.0 eV/f.u.
M_tot = 0.0 μB per formula unit

[14]
A relaxed ZrSiSe crystal. Source: Alexandria, functional PBE.

Cell: 5.3091 5.3091 7.3747 Å, 114.29 114.29 39.65°
With the nearest neighbours (Å) after each atom.
Positions (direct):
Zr  0.0000  0.0000  0.0000  5 Se 2.79-2.95, 3 Si 2.79-2.82
Zr  0.0245  0.0245  0.5806  4 Se 2.74-2.83, 5 Si 2.90-2.97
Si  0.2717  0.2717  0.3456  1 Si 2.29, 1 Se 2.45
Si  0.3413  0.3413  0.6851  1 Si 2.29
Se  0.4945  0.4945  0.2849  1 Si 2.45, 2 Zr 2.74
Se  0.6799  0.6799  0.8997  5 Zr 2.83-2.95, 1 Si 3.04

Results
DOS at the Fermi energy = 0.1257 states/eV per atom
Energy relative to the elements, uncorrected = -2.1 eV/f.u.
M_tot = 0.0 μB per formula unit

[15]
A relaxed Zr2SiSe crystal. Source: Alexandria, functional PBE.

Cell: 6.8283 6.8283 6.8283 Å, 32.62 32.62 32.62°
With the nearest neighbours (Å) after each atom.
Positions (direct):
Zr  0.2403  0.2403  0.2403  3 Si 2.63, 3 Se 2.86
Zr  0.7597  0.7597  0.7597  3 Si 2.63, 3 Se 2.86
Si  0.5000  0.5000  0.5000  6 Zr 2.63
Se  0.0000  0.0000  0.0000  6 Zr 2.86

Results
DOS at the Fermi energy = 0.4176 states/eV per atom
Energy relative to the elements, uncorrected = -3.9 eV/f.u.
M_tot = 0.0 μB per formula unit

[16]
A relaxed ZrSiSe3 crystal. Source: Alexandria, functional PBE.

Cell: 4.7744 4.7744 4.7744 Å, 90.00 90.00 90.00°
With the nearest neighbours (Å) after each atom.
Positions (direct):
Zr  0.0000  0.0000  0.0000  12 Se 3.38
Si  0.5000  0.5000  0.5000  6 Se 2.39
Se  0.0000  0.5000  0.5000  2 Si 2.39
Se  0.5000  0.0000  0.5000  2 Si 2.39
Se  0.5000  0.5000  0.0000  2 Si 2.39

Results
DOS at the Fermi energy = 1.6323 states/eV per atom
Energy relative to the elements, uncorrected = 0.1 eV/f.u.
M_tot = 0.0 μB per formula unit

[17]
A relaxed Sm2Se3 crystal. Source: Alexandria, functional PBE.

Cell: 11.3998 4.1306 11.1200 Å, 90.00 90.00 90.00°
With the nearest neighbours (Å) after each atom.
Positions (direct):
Sm  0.0118  0.2500  0.1870  7 Se 2.94-3.02
Sm  0.1937  0.2500  0.5022  7 Se 3.03-3.04
Sm  0.3063  0.7500  0.0022  7 Se 3.03-3.04
Sm  0.4882  0.7500  0.6870  7 Se 2.94-3.02
Sm  0.5118  0.2500  0.3130  7 Se 2.94-3.02
Sm  0.6937  0.2500  0.9978  7 Se 3.03-3.04
Sm  0.8063  0.7500  0.4978  7 Se 3.03-3.04
Sm  0.9882  0.7500  0.8130  7 Se 2.94-3.02
Se  0.0448  0.7500  0.3747  5 Sm 2.96-3.04
Se  0.1200  0.2500  0.9440  5 Sm 2.94-3.03
Se  0.2278  0.7500  0.6980  4 Sm 2.97-3.03, 1 Se 3.31
Se  0.2722  0.2500  0.1980  4 Sm 2.97-3.03, 1 Se 3.31
Se  0.3800  0.7500  0.4440  5 Sm 2.94-3.03
Se  0.4552  0.2500  0.8747  5 Sm 2.96-3.04
Se  0.5448  0.7500  0.1253  5 Sm 2.96-3.04
Se  0.6200  0.2500  0.5560  5 Sm 2.94-3.03
Se  0.7278  0.7500  0.8020  4 Sm 2.97-3.03, 1 Se 3.31
Se  0.7722  0.2500  0.3020  4 Sm 2.97-3.03, 1 Se 3.31
Se  0.8800  0.7500  0.0560  5 Sm 2.94-3.03
Se  0.9552  0.2500  0.6253  5 Sm 2.96-3.04

Results
Energy relative to the elements, uncorrected = -9.5 eV/f.u.
M_tot = 0.0 μB per formula unit

[18]
A relaxed Sm5Se4 crystal. Source: Alexandria, functional PBE.

Cell: 8.0884 8.0884 8.0884 Å, 93.27 93.27 152.38°
With the nearest neighbours (Å) after each atom.
Positions (direct):
Sm  0.0000  0.0000  0.0000  8 Se 3.12, 4 Sm 3.38
Sm  0.0000  0.3042  0.3042  4 Se 3.07, 1 Sm 3.38
Sm  0.0000  0.6958  0.6958  4 Se 3.07, 1 Sm 3.38
Sm  0.3042  0.0000  0.3042  4 Se 3.07, 1 Sm 3.38
Sm  0.6958  0.0000  0.6958  4 Se 3.07, 1 Sm 3.38
Se  0.3438  0.3438  0.6876  6 Sm 3.07-3.12
Se  0.3438  0.6562  0.0000  6 Sm 3.07-3.12
Se  0.6562  0.3438  0.0000  6 Sm 3.07-3.12
Se  0.6562  0.6562  0.3124  6 Sm 3.07-3.12

Results
DOS at the Fermi energy = 0.9576 states/eV per atom
Energy relative to the elements, uncorrected = -10.6 eV/f.u.
M_tot = 0.0 μB per formula unit

[19]
A relaxed Sm3Se crystal. Source: Alexandria, functional PBE.

Cell: 3.7265 3.7278 9.3495 Å, 90.00 90.00 90.00°
With the nearest neighbours (Å) after each atom.
Positions (direct):
Sm  0.0000  0.0000  0.0000  10 Sm 3.65-3.73
Sm  0.0000  0.5000  0.3399  4 Se 2.94
Sm  0.5000  0.5000  0.7300  2 Se 3.00
Se  0.5000  0.0000  0.4780  6 Sm 2.94-3.00

Results
DOS at the Fermi energy = 1.0321 states/eV per atom
Energy relative to the elements, uncorrected = -2.5 eV/f.u.
M_tot = 1.1 μB per formula unit

[20]
A relaxed SmSe2 crystal. Source: Alexandria, functional PBE.

Cell: 4.1238 4.1238 8.5312 Å, 90.00 90.00 90.00°
With the nearest neighbours (Å) after each atom.
Positions (direct):
Sm  0.2500  0.2500  0.2262  9 Se 3.03-3.12
Sm  0.7500  0.7500  0.7738  9 Se 3.03-3.12
Se  0.2500  0.2500  0.8689  5 Sm 3.03-3.05
Se  0.2500  0.7500  0.5000  4 Se 2.92, 4 Sm 3.12
Se  0.7500  0.2500  0.5000  4 Se 2.92, 4 Sm 3.12
Se  0.7500  0.7500  0.1311  5 Sm 3.03-3.05

Results
DOS at the Fermi energy = 0.0710 states/eV per atom
Energy relative to the elements, uncorrected = -4.8 eV/f.u.
M_tot = 0.0 μB per formula unit

Number 1: E -23.531 eV/cell, calculated volume 18.76 Å³/atom. Number 2: E -24.581 eV/cell, calculated volume 28.10 Å³/atom. Number 3: E -29.172 eV/cell, calculated volume 19.27 Å³/atom. Number 4: E -30.069 eV/cell, calculated volume 20.42 Å³/atom. Number 5: E -39.715 eV/cell, calculated volume 20.58 Å³/atom. Number 6: E -18.634 eV/cell, calculated volume 20.06 Å³/atom. Number 7: E -17.853 eV/cell, calculated volume 22.81 Å³/atom. Number 8: E -19.273 eV/cell, calculated volume 18.19 Å³/atom. Number 9: E -25.100 eV/cell, calculated volume 18.48 Å³/atom. Number 10: E -23.814 eV/cell, calculated volume 19.26 Å³/atom. Number 11: E -24.421 eV/cell, calculated volume 18.72 Å³/atom. Number 12: E -41.365 eV/cell, calculated volume 18.75 Å³/atom. Number 13: E -53.943 eV/cell, calculated volume 27.55 Å³/atom. Number 14: E -39.078 eV/cell, calculated volume 19.88 Å³/atom. Number 15: E -29.874 eV/cell, calculated volume 20.57 Å³/atom. Number 16: E -24.290 eV/cell, calculated volume 21.77 Å³/atom. Number 17: E -117.462 eV/cell, calculated volume 26.18 Å³/atom. Number 18: E -48.161 eV/cell, calculated volume 26.47 Å³/atom. Number 19: E -20.111 eV/cell, calculated volume 32.47 Å³/atom. Number 20: E -33.000 eV/cell, calculated volume 24.18 Å³/atom.